A plane-wave DFT calculation with PBE was carried out for crystalline PrThGe at its relaxed geometry.

Output
ΔE_f: -0.19 eV/atom
Electronic total energy: -5.79 eV/atom
Density of states at the Fermi level: 2.6 states/eV/cell
Mass density: 8.4 g/cm³

POSCAR file:
```
PrThGe
1.0
4.723 0.000 0.000
-2.362 4.090 0.000
0.000 0.000 4.579
Pr Th Ge
1 1 1
direct
0.000 0.000 0.000
0.333 0.667 0.460
0.667 0.333 0.726
```